[1]
{"formula": "ScTaFe2", "functional": "GGA-PBE", "state": "optimized geometry", "e_tot_ev_per_cell": -35.1, "mass_density_g_cm3": 9.4, "polymorph_energy_mev_per_atom": 221.2, "delta_e_f_ev_per_atom": 0.002, "magnetic_moment_mub_per_atom": 0.52, "cell": [[5.0888, -1.5177, 0.0000], [5.0888, 1.5177, 0.0000], [-1.7888, 0.0000, 3.8809]], "species": ["Sc", "Ta", "Fe", "Fe"], "fractional_positions": [[0.0000, 0.0000, 0.0000], [0.2263, 0.2263, 0.7259], [0.4843, 0.4843, 0.4842], [0.7639, 0.7639, 0.2636]]}

[2]
{"formula": "BaNpGa2Br8", "functional": "GGA-PBE", "state": "optimized geometry", "e_tot_ev_per_cell": -49.0, "mass_density_g_cm3": 4.0, "magnetic_moment_mub_per_atom": 0.25, "cell": [[7.0986, 0.0000, 0.0000], [0.0000, 9.2869, 0.0000], [-0.1613, 0.0000, 7.3187]], "species": ["Ba", "Np", "Ga", "Ga", "Br", "Br", "Br", "Br", "Br", "Br", "Br", "Br"], "fractional_positions": [[0.0000, 0.0000, 0.0000], [0.0000, 0.5000, 0.0000], [0.5000, 0.2369, 0.5000], [0.5000, 0.7631, 0.5000], [0.2261, 0.2821, 0.8492], [0.2265, 0.5000, 0.3062], [0.2261, 0.7179, 0.8492], [0.2780, 0.0000, 0.3524], [0.7220, 0.0000, 0.6476], [0.7739, 0.2821, 0.1508], [0.7735, 0.5000, 0.6938], [0.7739, 0.7179, 0.1508]]}

[3]
{"formula": "La2MgSn4Pt3", "functional": "GGA-PBE", "state": "optimized geometry", "e_tot_ev_per_cell": -54.0, "mass_density_g_cm3": 9.6, "delta_e_f_ev_per_atom": -0.841, "magnetic_moment_mub_per_atom": 0.00, "cell": [[4.5256, 0.0000, 0.0000], [0.0000, 4.5256, 0.0000], [0.0000, 0.0000, 11.5148]], "species": ["La", "La", "Mg", "Sn", "Sn", "Sn", "Sn", "Pt", "Pt", "Pt"], "fractional_positions": [[0.0000, 0.5000, 0.2472], [0.5000, 0.0000, 0.7528], [0.0000, 0.0000, 0.5000], [0.0000, 0.0000, 0.0000], [0.0000, 0.5000, 0.6419], [0.5000, 0.0000, 0.3581], [0.5000, 0.5000, 0.0000], [0.0000, 0.5000, 0.8709], [0.5000, 0.0000, 0.1291], [0.5000, 0.5000, 0.5000]]}